Compound: LiBiB2O5
Source: the Alexandria database
Functional: PBEsol
Structure: optimized geometry

The value obtained for the formation energy from raw total energies is -2.094 eV/atom. Its mass density is 6.37 g cm⁻³. As for the raw total energy: -7.264 eV per atom. As for the distance to the lowest polymorph of the same formula: 0.000 eV per formula unit.

a b c (Å): 4.3609 11.4362 13.2807
angles (deg): 90.00 90.00 90.00
With the nearest neighbours (Å) after each atom.
Atoms (fractional coordinates):
1 B 0.2134 0.2740 0.2335  4 O 1.47-1.49
2 O 0.6687 0.0744 0.6293  1 B 1.47
3 B 0.7954 0.9535 0.3922  4 O 1.44-1.54
4 O 0.1687 0.5744 0.8707  1 B 1.47
5 O 0.2222 0.8980 0.5903  1 B 1.49
6 O 0.7778 0.3980 0.4097  1 B 1.49
7 Li 0.7762 0.9073 0.5975  4 O 1.86-2.01
8 O 0.6150 0.6922 0.8331  2 B 1.49
9 O 0.2263 0.2503 0.8406  1 B 1.47
10 B 0.7173 0.1949 0.1409  4 O 1.44-1.54
11 Bi 0.3276 0.1403 0.4795  4 O 2.22-2.43
12 B 0.1978 0.8734 0.9832  4 O 1.46-1.49
13 B 0.8022 0.3734 0.0168  4 O 1.46-1.49
14 O 0.7678 0.2478 0.5347  2 B 1.49-1.54
15 B 0.3022 0.8734 0.4832  4 O 1.46-1.49
16 O 0.3313 0.5744 0.3707  1 B 1.47
17 Li 0.7236 0.2375 0.8489  3 O 1.86-2.01
18 O 0.2778 0.8980 0.0903  1 B 1.49
19 B 0.7827 0.1949 0.6409  4 O 1.44-1.54
20 O 0.6183 0.2629 0.7146  2 B 1.44-1.47
21 Li 0.2764 0.7375 0.1511  3 O 1.86-2.01
22 O 0.3817 0.7629 0.2854  2 B 1.44-1.47
23 Bi 0.7771 0.5031 0.7733  4 O 2.19-2.41
24 B 0.2173 0.6949 0.3591  4 O 1.44-1.54
25 B 0.7134 0.7740 0.2665  4 O 1.47-1.49
26 O 0.8002 0.0739 0.8807  1 B 1.45
27 Bi 0.2229 0.0031 0.2267  4 O 2.19-2.41
28 Li 0.7764 0.2375 0.3489  3 O 1.86-2.01
29 O 0.3678 0.3870 0.5331  2 B 1.44-1.46
30 B 0.7046 0.9535 0.8922  4 O 1.44-1.54
31 O 0.8678 0.8870 0.9669  2 B 1.44-1.46
32 O 0.8817 0.2629 0.2146  2 B 1.44-1.47
33 Bi 0.6724 0.6403 0.5205  4 O 2.22-2.43
34 O 0.6322 0.8870 0.4669  2 B 1.44-1.46
35 O 0.1321 0.9544 0.4175  2 B 1.47-1.51
36 B 0.2866 0.2740 0.7335  4 O 1.47-1.49
37 Li 0.2236 0.7375 0.6511  3 O 1.86-2.01
38 O 0.2737 0.2503 0.3406  1 B 1.47
39 O 0.2140 0.3997 0.7138  2 B 1.49-1.54
40 Li 0.2762 0.4073 0.9025  4 O 1.86-2.01
41 B 0.6978 0.3734 0.5168  4 O 1.46-1.49
42 O 0.3850 0.1922 0.1669  2 B 1.49
43 B 0.2827 0.6949 0.8591  4 O 1.44-1.54
44 O 0.7860 0.8997 0.2862  2 B 1.49-1.54
45 Bi 0.2771 0.0031 0.7267  4 O 2.19-2.41
46 O 0.1322 0.3870 0.0331  2 B 1.44-1.46
47 B 0.2046 0.4535 0.6078  4 O 1.44-1.54
48 Li 0.2238 0.4073 0.4025  4 O 1.86-2.01
49 O 0.2322 0.7478 0.4653  2 B 1.49-1.54
50 O 0.1183 0.7629 0.7854  2 B 1.44-1.47
51 O 0.6998 0.0739 0.3807  1 B 1.45
52 O 0.7263 0.7503 0.6594  1 B 1.47
53 O 0.8313 0.0744 0.1293  1 B 1.47
54 O 0.7737 0.7503 0.1594  1 B 1.47
55 Bi 0.1724 0.1403 0.9795  4 O 2.22-2.43
56 O 0.3002 0.5739 0.6193  1 B 1.45
57 O 0.7140 0.8997 0.7862  2 B 1.49-1.54
58 O 0.6321 0.4544 0.0825  2 B 1.47-1.51
59 Bi 0.8276 0.6403 0.0205  4 O 2.22-2.43
60 B 0.2954 0.4535 0.1078  4 O 1.44-1.54
61 Bi 0.7229 0.5031 0.2733  4 O 2.19-2.41
62 O 0.3679 0.9544 0.9175  2 B 1.47-1.51
63 Li 0.7238 0.9073 0.0975  4 O 1.86-2.01
64 O 0.2860 0.3997 0.2138  2 B 1.49-1.54
65 O 0.8679 0.4544 0.5825  2 B 1.47-1.51
66 O 0.2678 0.7478 0.9653  2 B 1.49-1.54
67 B 0.7866 0.7740 0.7665  4 O 1.47-1.49
68 O 0.1998 0.5739 0.1193  1 B 1.45
69 O 0.1150 0.1922 0.6669  2 B 1.49
70 O 0.7222 0.3980 0.9097  1 B 1.49
71 O 0.8850 0.6922 0.3331  2 B 1.49
72 O 0.7322 0.2478 0.0347  2 B 1.49-1.54